Entry 1:
Sm2Er5Tm4 PBE-GGA optimized geometry; energy of formation from the pure elements = 0.26 eV per formula unit; total magnetic moment = 0.000 μB/f.u.; DFT total energy = -49.9 eV/cell
1.0
3.518 0.000 0.000
0.006 8.622 0.000
1.756 2.861 11.181
Sm Er Tm
2 5 4
Direct
0.091 0.227 0.318
0.909 0.773 0.682
0.000 0.500 0.500
0.272 0.683 0.955
0.364 0.408 0.773
0.636 0.592 0.227
0.728 0.317 0.045
0.182 0.954 0.136
0.454 0.138 0.593
0.546 0.862 0.407
0.818 0.046 0.864

Entry 2:
Sm10ErTm4 PBE-GGA optimized geometry; energy of formation from the pure elements = 10.48 eV per formula unit; total magnetic moment = 0.000 μB/f.u.; DFT total energy = -59.2 eV/cell
1.0
-6.102 6.102 3.853
6.102 -6.102 3.853
6.102 6.102 -3.853
Sm Er Tm
10 1 4
Direct
0.050 0.350 0.899
0.150 0.050 0.700
0.250 0.750 0.500
0.350 0.451 0.300
0.451 0.150 0.101
0.549 0.850 0.899
0.650 0.549 0.700
0.750 0.250 0.500
0.850 0.950 0.300
0.950 0.650 0.101
0.000 0.000 0.000
0.200 0.400 0.600
0.400 0.800 0.199
0.600 0.200 0.801
0.800 0.600 0.400

The records above give, respectively, DOS at the Fermi energy values of 14.73; 20.32 states/eV/f.u..